{"formula": "Mn2NbGeCl", "functional": "GGA-PBEsol", "state": "optimized geometry", "lattice": [[4.773, 0.000, 0.000], [0.000, 4.773, 0.000], [0.000, 0.000, 4.606]], "species": ["Mn", "Mn", "Nb", "Ge", "Cl"], "frac_coords": [[0.000, 0.500, 0.000], [0.500, 0.000, 0.000], [0.000, 0.000, 0.000], [0.500, 0.500, 0.500], [0.000, 0.000, 0.500]], "crystal_system": "tetragonal", "sg": "No. 123", "e_form_raw_ev_per_atom": 1.116}

***

{"formula": "Li2FeRh", "functional": "GGA-PBEsol", "state": "optimized geometry", "lattice": [[2.834, 0.000, 0.000], [0.000, 4.088, 0.000], [0.000, 0.000, 4.347]], "species": ["Li", "Li", "Fe", "Rh"], "frac_coords": [[0.000, 0.000, 0.000], [0.500, 0.500, 0.000], [0.000, 0.500, 0.500], [0.500, 0.000, 0.500]], "crystal_system": "orthorhombic", "formation_enthalpy_0k_mev_per_atom": 57, "sg": "No. 47"}

***

{"formula": "KSrZr2", "functional": "GGA-PBEsol", "state": "optimized geometry", "lattice": [[-1.683, 2.748, 6.333], [1.683, -2.748, 6.333], [1.683, 2.748, -6.333]], "species": ["K", "Sr", "Zr", "Zr"], "frac_coords": [[0.000, 0.000, 0.000], [0.500, 0.500, 0.000], [0.254, 0.754, 0.500], [0.746, 0.246, 0.500]], "crystal_system": "orthorhombic", "de_polymorph_mev_per_atom": 53.7, "formation_enthalpy_0k_mev_per_atom": 852, "sg": "No. 71"}

***

{"formula": "Fe3Br", "functional": "GGA-PBEsol", "state": "optimized geometry", "lattice": [[3.061, 0.000, 0.000], [-1.530, 2.651, 0.000], [0.000, 0.000, 7.227]], "species": ["Fe", "Fe", "Fe", "Br"], "frac_coords": [[0.000, 0.000, 0.000], [0.333, 0.667, 0.227], [0.333, 0.667, 0.773], [0.000, 0.000, 0.500]], "crystal_system": "hexagonal", "de_polymorph_mev_per_atom": 0.0, "sg": "No. 187", "e_form_raw_ev_per_atom": 0.566}